[1]
La2P2IrOsO2 after structural relaxation, computed with PBE.

Calculated values
- Density: 9.0 g/cm3
- V: 140 Å³/cell
- Uncorrected energy: -8.33 eV/atom

Structure (extended XYZ):
```
8
Lattice="-3.953 -0.464 -0.743 -0.482 -1.712 3.638 -1.538 7.658 3.399" Properties=species:S:1:pos:R:3 pbc="T T T"
Ir -0.769 3.829 1.700
La -0.463 0.249 2.309
La -3.292 6.321 2.537
O 0.000 0.000 0.000
O -2.218 -1.088 1.448
Os -2.987 2.741 3.147
P -2.526 2.503 0.843
P -1.230 4.067 4.004
```

=====

[2]
ScGaMo after structural relaxation, computed with PBE.

Calculated values
- Density: 6.0 g/cm3
- V: 59 Å³/cell
- Uncorrected energy: -6.52 eV/atom
- Offset from the most stable computed form: 0 meV/atom

Structure (extended XYZ):
```
3
Lattice="-3.100 -2.029 -2.300 -4.186 1.099 0.538 -2.118 2.132 -3.161" Properties=species:S:1:pos:R:3 pbc="T T T"
Ga 0.000 0.000 0.000
Mo -2.351 0.300 -1.231
Sc -7.053 0.901 -3.693
```

=====

[3]
Li3Cu8 after structural relaxation, computed with PBE.

Calculated values
- Density: 6.7 g/cm3
- V: 132 Å³/cell
- Uncorrected energy: -3.26 eV/atom

Structure (extended XYZ):
```
11
Lattice="4.434 0.000 0.000 -1.459 5.549 0.000 -0.824 -2.101 5.346" Properties=species:S:1:pos:R:3 pbc="T T T"
Cu 2.604 2.242 0.206
Cu 0.370 0.989 0.731
Cu -1.110 4.189 1.674
Cu 1.144 2.903 2.175
Cu 1.007 0.545 3.171
Cu 3.261 -0.741 3.672
Cu 1.780 2.459 4.615
Cu -0.453 1.206 5.140
Li 2.561 -0.241 1.233
Li -1.142 1.724 2.673
Li -0.411 3.689 4.113
```

=====

[4]
ThBeIr after structural relaxation, computed with PBE.

Calculated values
- Density: 10.7 g/cm3
- V: 67 Å³/cell
- Uncorrected energy: -6.87 eV/atom
- Offset from the most stable computed form: 0 meV/atom

Structure (extended XYZ):
```
3
Lattice="-2.771 -3.263 1.579 1.745 -3.917 1.560 -0.116 -0.931 4.465" Properties=species:S:1:pos:R:3 pbc="T T T"
Be -0.857 -6.083 5.703
Ir 0.000 0.000 0.000
Th -0.286 -2.028 1.901
```

=====

[5]
HoSiHO4 after structural relaxation, computed with PBE.

Calculated values
- Density: 5.9 g/cm3
- V: 869 Å³/cell
- Uncorrected energy: -7.39 eV/atom
- Offset from the most stable computed form: 91 meV/atom

Structure (extended XYZ):
```
84
Lattice="-9.732 -7.640 3.552 9.340 -7.159 10.190 -1.134 2.863 3.051" Properties=species:S:1:pos:R:3 pbc="T T T"
H -1.776 -2.147 2.172
H 1.282 -4.491 5.509
H -0.853 -10.868 10.982
H 3.851 -6.639 9.641
H -6.908 -5.296 4.663
H -3.850 -7.640 7.999
H 2.324 -4.297 8.794
H 5.382 -6.641 12.130
H -5.377 -5.297 7.152
H -0.673 -1.068 5.812
H -2.808 -7.446 11.285
H 0.250 -9.790 14.621
Ho 1.207 -7.156 8.082
Ho 4.050 -9.335 11.184
Ho -6.564 -7.993 6.346
Ho -1.792 -3.936 4.822
Ho -3.888 -10.398 10.475
Ho -1.045 -12.577 13.576
Ho -0.481 0.641 3.217
Ho 2.362 -1.538 6.319
Ho 0.266 -8.000 11.971
Ho 5.038 -3.943 10.447
Ho -5.576 -2.601 5.609
Ho -2.733 -4.780 8.711
O -0.009 -3.430 3.543
O 3.335 -7.886 9.238
O -2.292 -9.686 8.859
O 1.064 -12.258 12.520
O -6.893 -6.669 4.440
O -4.429 -8.558 7.129
O 0.855 -1.136 2.328
O 2.454 -2.362 4.072
O 0.351 -8.816 9.365
O 1.887 -9.993 11.040
O -1.114 -7.401 7.899
O 3.409 -10.867 12.834
O 3.689 -3.421 6.293
O 8.211 -6.888 11.227
O 5.004 -4.458 8.162
O 6.540 -5.635 9.837
O -4.231 -4.403 4.694
O -2.632 -5.628 6.439
O -2.321 -2.110 3.452
O 0.144 -3.999 6.141
O 2.236 -5.012 7.993
O 5.592 -7.584 11.654
O -1.878 -10.831 11.948
O -5.321 -6.123 6.520
O 3.795 -5.813 10.273
O 0.352 -1.105 4.846
O -7.118 -4.352 5.139
O -3.762 -6.925 8.800
O -1.670 -7.937 10.652
O 0.795 -9.826 13.341
O 1.106 -6.308 10.355
O 2.704 -7.534 12.099
O -8.066 -6.301 6.956
O -6.530 -7.478 8.631
O -9.737 -5.048 5.566
O -5.215 -8.515 10.500
O -4.935 -1.069 3.959
O -0.412 -4.536 8.894
O -3.413 -1.943 5.753
O -1.877 -3.121 7.429
O -3.980 -9.575 12.721
O -2.381 -10.800 14.465
O 2.903 -3.378 9.664
O 5.367 -5.267 12.353
O -2.590 0.322 4.273
O 0.766 -2.251 7.934
O -4.861 -4.050 7.555
O -1.518 -8.506 13.250
Si 3.690 -4.784 7.216
Si 6.735 -7.117 10.538
Si 0.896 -2.077 3.664
Si -4.029 -5.751 5.597
Si -1.243 -8.431 9.174
Si 1.802 -10.766 12.497
Si -3.328 -1.171 4.296
Si -0.283 -3.505 7.619
Si 2.503 -6.185 11.196
Si -2.422 -9.859 13.129
Si -8.261 -4.819 6.255
Si -5.217 -7.153 9.577
```

=====

[6]
Ta3CuAs5 after structural relaxation, computed with PBE.

Calculated values
- Density: 8.2 g/cm3
- V: 200 Å³/cell
- Uncorrected energy: -6.78 eV/atom

Structure (extended XYZ):
```
9
Lattice="-4.275 3.462 0.742 0.946 -4.066 3.658 4.399 4.583 3.957" Properties=species:S:1:pos:R:3 pbc="T T T"
As -1.616 1.910 2.541
As 0.125 -0.599 3.513
As 2.199 2.292 1.979
As 0.946 4.578 4.845
As 2.686 2.069 5.817
Cu 0.000 0.000 0.000
Ta 0.062 4.022 2.350
Ta 2.672 0.259 3.808
Ta 0.535 1.989 4.179
```

=====

[7]
Ga12Mo after structural relaxation, computed with PBE.

Calculated values
- Density: 6.9 g/cm3
- V: 223 Å³/cell
- Uncorrected energy: -3.68 eV/atom

Structure (extended XYZ):
```
13
Lattice="-3.820 3.820 3.820 3.820 -3.820 3.820 3.820 3.820 -3.820" Properties=species:S:1:pos:R:3 pbc="T T T"
Ga -1.443 2.384 3.820
Ga 1.436 0.000 2.377
Ga 1.436 0.000 5.263
Ga 0.000 2.377 1.436
Ga 3.820 -1.443 2.384
Ga 2.377 1.436 0.000
Ga 1.443 2.384 3.820
Ga 0.000 5.263 1.436
Ga 3.820 1.443 2.384
Ga 2.384 3.820 -1.443
Ga 2.384 3.820 1.443
Ga 5.263 1.436 0.000
Mo 0.000 0.000 0.000
```

=====

[8]
Tl4ReS4 after structural relaxation, computed with PBE.

Calculated values
- Density: 7.2 g/cm3
- V: 524 Å³/cell
- Uncorrected energy: -4.47 eV/atom

Structure (extended XYZ):
```
18
Lattice="-4.150 4.278 -6.214 -7.912 -1.775 2.896 2.645 5.364 4.656" Properties=species:S:1:pos:R:3 pbc="T T T"
Re -2.948 4.768 -1.122
Re -3.199 4.917 5.018
S -7.207 1.331 0.201
S -4.635 -0.046 2.186
S -2.938 2.672 -0.309
S -3.145 4.886 -3.341
S -4.711 5.903 -0.315
S -1.197 6.041 -0.611
S -2.062 4.636 3.099
S -4.532 3.208 5.549
Tl -5.422 2.005 -2.569
Tl -7.759 1.311 3.154
Tl -8.280 4.251 -0.780
Tl -6.059 5.841 -3.069
Tl -4.952 3.316 1.821
Tl -3.626 8.516 -1.325
Tl -7.053 6.780 1.779
Tl -7.015 4.857 4.778
```